Entry 1:
Entry from OQMD: crystalline TbSmCuSe3 at its relaxed geometry (PBE).

## Properties
DFT total energy, eV per atom: -5.329
Space-group type: P2_1/m
Magnetization, μB/f.u.: 0.007
V, Å³ per atom: 23.20

Cell lengths 3.9465, 10.5749, 6.9408 Å; angles 90.00, 106.02, 90.00 degrees
Element x y z (fractional)
1 Cu 0.5108 0.7500 0.0501
2 Cu 0.4892 0.2500 0.9499
3 Sm 0.2235 0.7500 0.4635
4 Sm 0.7765 0.2500 0.5365
5 Se 0.3590 0.4268 0.7088
6 Se 0.6410 0.9268 0.2912
7 Se 0.8985 0.7500 0.8140
8 Se 0.1015 0.2500 0.1860
9 Se 0.3590 0.0732 0.7088
10 Se 0.6410 0.5732 0.2912
11 Tb 0.0000 0.5000 0.0000
12 Tb 0.0000 0.0000 0.0000


Entry 2:
Entry from OQMD: crystalline Tb2NdMg3AgAu2 at its relaxed geometry (PBE).

## Properties
DFT total energy, eV per atom: -3.661
Space-group type: Amm2
Magnetization, μB/f.u.: 0.002
V, Å³ per atom: 23.70

Cell lengths 4.0317, 7.8271, 7.8271 Å; angles 120.27, 90.00, 90.00 degrees
Element x y z (fractional)
1 Au 0.5000 0.3274 0.6683
2 Au 0.5000 0.6683 0.3274
3 Mg 0.5000 0.0026 0.7517
4 Mg 0.5000 0.2470 0.2470
5 Mg 0.5000 0.7517 0.0026
6 Ag 0.0000 0.0030 0.0030
7 Nd 0.0000 0.5857 0.5857
8 Tb 0.0000 0.4143 0.0000
9 Tb 0.0000 0.0000 0.4143


Entry 3:
Entry from OQMD: crystalline Gd4Ni13C4 at its relaxed geometry (PBE).

## Properties
DFT total energy, eV per atom: -6.423
Space-group type: Cmmm
Magnetization, μB/f.u.: 0.032
V, Å³ per atom: 13.17

Cell lengths 3.8889, 8.4356, 8.4356 Å; angles 88.82, 90.00, 90.00 degrees
Element x y z (fractional)
1 Gd 0.5000 0.6514 0.3486
2 Gd 0.5000 0.3486 0.6514
3 Gd 0.5000 0.1873 0.1873
4 Gd 0.5000 0.8127 0.8127
5 Ni 0.5000 0.1238 0.8762
6 Ni 0.0000 0.0746 0.7090
7 Ni 0.0000 0.5692 0.7844
8 Ni 0.0000 0.2910 0.9254
9 Ni 0.5000 0.0000 0.5000
10 Ni 0.5000 0.8762 0.1238
11 Ni 0.0000 0.7090 0.0746
12 Ni 0.0000 0.4308 0.2156
13 Ni 0.0000 0.7844 0.5692
14 Ni 0.0000 0.2156 0.4308
15 Ni 0.5000 0.5000 0.0000
16 Ni 0.0000 0.9254 0.2910
17 Ni 0.0000 0.0000 0.0000
18 C 0.0000 0.0000 0.5000
19 C 0.0000 0.5000 0.0000
20 C 0.0000 0.5567 0.5567
21 C 0.0000 0.4433 0.4433


Entry 4:
Entry from OQMD: crystalline HfCuSbMo at its relaxed geometry (PBE).

## Properties
Excess energy over the best structure of this formula in the dataset, eV per atom: 0.000
DFT total energy, eV per atom: -6.999
Space-group type: F-43m
Magnetization, μB/f.u.: 0.009
V, Å³ per atom: 17.62

Cell lengths 4.6369, 4.6369, 4.6369 Å; angles 60.00, 60.00, 60.00 degrees
Element x y z (fractional)
1 Mo 0.2500 0.2500 0.2500
2 Cu 0.7500 0.7500 0.7500
3 Sb 0.0000 0.0000 0.0000
4 Hf 0.5000 0.5000 0.5000


Entry 5:
Entry from OQMD: crystalline Pr2Ge2O7 at its relaxed geometry (PBE).

## Properties
DFT total energy, eV per atom: -7.387
Space-group type: P1
Magnetization, μB/f.u.: 0.000
V, Å³ per atom: 13.85

Cell lengths 7.0080, 7.0337, 6.8617 Å; angles 87.56, 91.31, 115.65 degrees
Element x y z (fractional)
1 O 0.3653 0.8758 0.7721
2 O 0.5645 0.7492 0.1743
3 O 0.1417 0.1965 0.8085
4 O 0.8150 0.3468 0.7157
5 O 0.6468 0.3645 0.0769
6 O 0.9293 0.1201 0.1789
7 O 0.4271 0.2417 0.4550
8 O 0.2790 0.0073 0.1354
9 O 0.9301 0.7354 0.4124
10 O 0.7014 0.9869 0.5067
11 O 0.1121 0.5734 0.0932
12 O 0.9240 0.7736 0.8670
13 O 0.2011 0.4709 0.4588
14 O 0.5241 0.5493 0.7626
15 Ge 0.7436 0.5011 0.8570
16 Ge 0.7950 0.8781 0.3197
17 Ge 0.1849 0.8156 0.9615
18 Ge 0.3129 0.3461 0.6244
19 Pr 0.8298 0.3634 0.3655
20 Pr 0.3190 0.8461 0.4250
21 Pr 0.7429 0.0043 0.8562
22 Pr 0.3042 0.3607 0.1273


Entry 6:
Entry from OQMD: crystalline Pu2Si3Pt at its relaxed geometry (PBE).

## Properties
DFT total energy, eV per atom: -9.166
Space-group type: Pmm2
Magnetization, μB/f.u.: 10.446
V, Å³ per atom: 19.47

Cell lengths 3.9642, 4.1418, 7.1164 Å; angles 90.00, 90.00, 90.00 degrees
Element x y z (fractional)
1 Pt 0.0000 0.5000 0.3330
2 Si 0.0000 0.0000 0.8345
3 Si 0.0000 0.0000 0.1623
4 Si 0.0000 0.5000 0.6702
5 Pu 0.5000 0.5000 0.9940
6 Pu 0.5000 0.0000 0.5060


Entry 7:
Entry from OQMD: crystalline Zr2Al2CoCuIr2 at its relaxed geometry (PBE).

## Properties
DFT total energy, eV per atom: -7.309
Space-group type: P-4m2
Magnetization, μB/f.u.: 1.226
V, Å³ per atom: 15.50

Cell lengths 4.4422, 4.4422, 6.2857 Å; angles 90.00, 90.00, 90.00 degrees
Element x y z (fractional)
1 Ir 0.5000 0.5000 0.0000
2 Ir 0.0000 0.0000 0.5000
3 Al 0.0000 0.5000 0.2494
4 Al 0.5000 0.0000 0.7506
5 Zr 0.5000 0.0000 0.2469
6 Zr 0.0000 0.5000 0.7531
7 Co 0.0000 0.0000 0.0000
8 Cu 0.5000 0.5000 0.5000


Entry 8:
Entry from OQMD: crystalline Cu4Ag at its relaxed geometry (PBE).

## Properties
Excess energy over the best structure of this formula in the dataset, eV per atom: 0.021
DFT total energy, eV per atom: -3.473
Space-group type: P-1
V, Å³ per atom: 13.05
Formation energy from the elements, eV/f.u.: 0.33

Cell lengths 4.5228, 4.5994, 6.9862 Å; angles 107.67, 101.92, 100.76 degrees
Element x y z (fractional)
1 Cu 0.7694 0.0070 0.7711
2 Cu 0.9434 0.4012 0.1402
3 Cu 0.2306 0.9930 0.2289
4 Cu 0.3571 0.2053 0.9554
5 Cu 0.6429 0.7947 0.0446
6 Cu 0.4697 0.4183 0.6697
7 Cu 0.5303 0.5817 0.3303
8 Cu 0.0566 0.5988 0.8598
9 Ag 0.1703 0.8079 0.5542
10 Ag 0.8297 0.1921 0.4458


Entry 9:
Entry from OQMD: crystalline Lu4SnGeC2 at its relaxed geometry (PBE).

## Properties
DFT total energy, eV per atom: -6.240
Space-group type: P-6m2
Magnetization, μB/f.u.: 0.001
V, Å³ per atom: 20.03

Cell lengths 3.5162, 3.5162, 14.9644 Å; angles 90.00, 90.00, 120.00 degrees
Element x y z (fractional)
1 Ge 0.0000 0.0000 0.0000
2 Lu 0.6667 0.3333 0.8473
3 Lu 0.6667 0.3333 0.1527
4 Lu 0.0000 0.0000 0.3262
5 Lu 0.0000 0.0000 0.6738
6 C 0.3333 0.6667 0.2417
7 C 0.3333 0.6667 0.7583
8 Sn 0.6667 0.3333 0.5000


Entry 10:
Entry from OQMD: crystalline Gd2SiNi at its relaxed geometry (PBE).

## Properties
Excess energy over the best structure of this formula in the dataset, eV per atom: 0.002
DFT total energy, eV per atom: -5.686
Space-group type: Pmn2_1
Magnetization, μB/f.u.: 0.003
V, Å³ per atom: 21.68

Cell lengths 4.1212, 7.3443, 5.7303 Å; angles 90.00, 90.00, 90.00 degrees
Element x y z (fractional)
1 Gd 0.5000 0.0582 0.6396
2 Gd 0.0000 0.4116 0.3757
3 Gd 0.0000 0.9418 0.1396
4 Gd 0.5000 0.5884 0.8757
5 Si 0.0000 0.2938 0.8768
6 Si 0.5000 0.7062 0.3768
7 Ni 0.5000 0.2202 0.1079
8 Ni 0.0000 0.7798 0.6079


Entry 11:
Entry from OQMD: crystalline SmHfZr at its relaxed geometry (PBE).

## Properties
Excess energy over the best structure of this formula in the dataset, eV per atom: 0.000
DFT total energy, eV per atom: -6.834
Space-group type: F-43m
Magnetization, μB/f.u.: 1.455
V, Å³ per atom: 29.58
Formation energy from the elements, eV/f.u.: 2.71

Cell lengths 5.0067, 5.0067, 5.0067 Å; angles 60.00, 60.00, 60.00 degrees
Element x y z (fractional)
1 Sm 0.2500 0.2500 0.2500
2 Zr 0.7500 0.7500 0.7500
3 Hf 0.0000 0.0000 0.0000


Entry 12:
Entry from OQMD: crystalline YTa2Os2 at its relaxed geometry (PBE).

## Properties
DFT total energy, eV per atom: -10.841
Space-group type: I4/mmm
Magnetization, μB/f.u.: 0.003
V, Å³ per atom: 20.52
Formation energy from the elements, eV/f.u.: -1.59

Cell lengths 6.2053, 6.2053, 6.2053 Å; angles 138.81, 138.81, 59.67 degrees
Element x y z (fractional)
1 Ta 0.7500 0.2500 0.5000
2 Ta 0.2500 0.7500 0.5000
3 Os 0.6178 0.6178 0.0000
4 Os 0.3822 0.3822 0.0000
5 Y 0.0000 0.0000 0.0000